(1)
VASP calculation (PBE) on a geometry-optimized ZnCrSb2 structure.

Cell lengths 3.1866, 3.9264, 7.2632 Å; angles 90.00, 90.00, 90.00 degrees
Closest atoms and distances in Å follow each position.
Fractional coordinates of all 4 atoms:
Cr 0.5000 0.5000 0.7240  5 Sb 2.83-2.87, 4 Zn 2.90
Sb 0.5000 0.5000 0.3348  1 Cr 2.83, 4 Zn 2.90
Zn 0.0000 0.0000 0.5293  5 Sb 2.78-2.90, 4 Cr 2.90
Sb 0.0000 0.0000 0.9120  1 Zn 2.78, 4 Cr 2.87

## Properties
The total energy is -18.34 eV per cell. For the total magnetization, the calculation gives 3.43 μB/f.u. For the energy relative to the elements, uncorrected, the calculation gives 200 meV per atom. As for the space-group type: Pmm2, No. 25.


(2)
VASP calculation (PBE) on a geometry-optimized Ca2Hg3Pd4 structure.

Cell lengths 4.5647, 4.9840, 8.9443 Å; angles 81.49, 89.96, 62.75 degrees
Closest atoms and distances in Å follow each position.
Fractional coordinates of all 9 atoms:
Pd 0.9963 0.0086 0.6628  4 Hg 2.89-3.01, 1 Pd 2.93, 3 Ca 2.97-3.01
Hg 0.3378 0.3233 0.4239  4 Pd 2.89-2.93, 3 Hg 2.96-3.20, 3 Ca 3.15-3.18
Pd 0.6700 0.6606 0.9001  4 Ca 2.88-3.01, 4 Hg 2.89-2.95, 2 Pd 3.09-3.10
Pd 0.0037 0.9914 0.3372  4 Hg 2.89-3.01, 1 Pd 2.93, 3 Ca 2.97-3.01
Ca 0.3348 0.3311 0.7789  7 Pd 2.88-3.01, 5 Hg 3.15-3.21
Ca 0.6652 0.6689 0.2211  7 Pd 2.88-3.01, 5 Hg 3.15-3.21
Hg 0.6622 0.6767 0.5761  4 Pd 2.89-2.93, 3 Hg 2.96-3.20, 3 Ca 3.15-3.18
Pd 0.3300 0.3394 0.0999  4 Ca 2.88-3.01, 4 Hg 2.89-2.95, 2 Pd 3.09-3.10
Hg 0.0000 0.0000 0.0000  8 Pd 2.91-3.01, 4 Ca 3.21

## Properties
The total energy is -29.82 eV per cell. The energy relative to the lowest polymorph listed for this composition is 28 meV per atom. For the total magnetization, the calculation gives 0.00 μB/f.u. As for the space-group type: C2/m, No. 12.


(3)
VASP calculation (PBE) on a geometry-optimized LiYTlAg structure.

Cell lengths 4.9156, 4.9156, 4.9156 Å; angles 60.00, 60.00, 60.00 degrees
Closest atoms and distances in Å follow each position.
Fractional coordinates of all 4 atoms:
Ag 0.5000 0.5000 0.5000  4 Tl 3.01, 4 Y 3.01
Y 0.7500 0.7500 0.7500  4 Ag 3.01, 4 Li 3.01
Li 0.0000 0.0000 0.0000  4 Tl 3.01, 4 Y 3.01
Tl 0.2500 0.2500 0.2500  4 Li 3.01, 4 Ag 3.01

## Properties
The total energy is -14.75 eV per cell. For the total magnetization, the calculation gives 0.00 μB/f.u. As for the space-group type: F-43m, No. 216.


(4)
VASP calculation (PBE) on a geometry-optimized CuAsPt2 structure.

Cell lengths 2.7814, 2.7814, 9.2304 Å; angles 90.00, 90.00, 119.31 degrees
Closest atoms and distances in Å follow each position.
Fractional coordinates of all 4 atoms:
Cu 0.5000 0.5000 0.7500  4 Pt 2.60, 6 Cu 2.78-2.81
Pt 0.0000 0.0000 0.5128  2 Cu 2.60, 6 Pt 2.78-2.81, 2 As 2.80
Pt 0.0000 0.0000 0.9872  2 Cu 2.60, 6 Pt 2.78-2.81, 2 As 2.80
As 0.5000 0.5000 0.2500  6 As 2.78-2.81, 4 Pt 2.80

## Properties
The total energy is -20.66 eV per cell. For the total magnetization, the calculation gives 0.00 μB/f.u. As for the space-group type: Cmmm, No. 65.